BaSrV2: relaxed, PBE.

Cell lengths 8.9756, 8.9756, 7.1563 Å; angles 51.16, 51.16, 90.00 degrees
Last column: nearest neighbours and their distance in Å.
Sites, in units of the cell vectors:
V (0.8750, 0.8721, 0.7500)  2 Sr 3.26, 2 Ba 3.30, 2 V 3.31
Ba (0.0000, 0.0000, 0.0000)  4 V 3.30, 2 Sr 3.31
V (0.1279, 0.6250, 0.2500)  2 Sr 3.26, 2 Ba 3.30, 2 V 3.31
Ba (0.7500, 0.2500, 0.5000)  4 V 3.30, 2 Sr 3.31
Sr (0.5000, 0.5000, 0.0000)  4 V 3.26, 2 Ba 3.31
V (0.6221, 0.1250, 0.2500)  2 Sr 3.26, 2 Ba 3.30, 2 V 3.31
Sr (0.2500, 0.7500, 0.5000)  4 V 3.26, 2 Ba 3.31
V (0.3750, 0.3779, 0.7500)  2 Sr 3.26, 2 Ba 3.30, 2 V 3.31

Calculated values
**Symmetry**: I-42d (122)
**E_form**: 5.4 eV per formula unit
**DFT total energy**: -0.3030 Ry per atom
**Total magnetic moment**: 7.5 μB/f.u.



Ba2SrW: relaxed, PBE.

Cell lengths 5.4533, 5.4682, 5.2944 Å; angles 90.00, 90.00, 90.00 degrees
Last column: nearest neighbours and their distance in Å.
Sites, in units of the cell vectors:
Sr (0.5000, 0.0000, 0.5000)  8 Ba 3.80-3.81, 4 W 3.86
Ba (0.5000, 0.5000, 0.0000)  4 W 3.80, 4 Sr 3.81, 4 Ba 3.86
Ba (0.0000, 0.0000, 0.0000)  4 Sr 3.80, 4 W 3.81, 4 Ba 3.86
W (0.0000, 0.5000, 0.5000)  8 Ba 3.80-3.81, 4 Sr 3.86

Calculated values
**Symmetry**: Pmmm (47)
**E_form**: 4.7 eV per formula unit
**DFT total energy**: -0.2532 Ry per atom
**Total magnetic moment**: 3.0 μB/f.u.



Ba2SrW: relaxed, PBE.

Cell lengths 7.8843, 7.8843, 7.8843 Å; angles 151.29, 134.31, 54.86 degrees
Last column: nearest neighbours and their distance in Å.
Sites, in units of the cell vectors:
Sr (0.7500, 0.2500, 0.5000)  4 W 3.63, 2 Sr 3.91, 4 Ba 3.99
Ba (0.4332, 0.4332, 0.0000)  2 W 3.22
Ba (0.0668, 0.0668, 0.0000)  2 W 3.22
W (0.2500, 0.7500, 0.5000)  4 Ba 3.22

Calculated values
**Symmetry**: Immm (71)
**E_form**: 4.1 eV per formula unit
**DFT total energy**: -0.2639 Ry per atom
**Total magnetic moment**: 2.3 μB/f.u.



Ba2SrW: relaxed, PBE.

Cell lengths 6.9417, 6.9417, 3.8637 Å; angles 80.33, 80.33, 115.85 degrees
Last column: nearest neighbours and their distance in Å.
Sites, in units of the cell vectors:
Sr (0.5000, 0.0000, 0.5000)  4 Ba 3.68, 2 W 3.69, 2 Sr 3.86
Ba (0.5000, 0.5000, 0.0000)  2 Sr 3.68, 2 W 3.68, 4 Ba 3.69-3.86
W (0.0000, 0.5000, 0.5000)  4 Ba 3.68, 2 Sr 3.69, 2 W 3.86
Ba (0.0000, 0.0000, 0.0000)  2 W 3.68, 2 Sr 3.68, 4 Ba 3.69-3.86

Calculated values
**Symmetry**: C2/m (12)
**E_form**: 5.1 eV per formula unit
**DFT total energy**: -0.2462 Ry per atom
**Total magnetic moment**: 3.2 μB/f.u.



Ba3SrW: relaxed, PBE.

Cell lengths 6.2513, 6.2513, 6.2513 Å; angles 90.00, 90.00, 90.00 degrees
Last column: nearest neighbours and their distance in Å.
Sites, in units of the cell vectors:
W (0.0000, 0.0000, 0.0000)  6 Ba 3.13
Ba (0.5000, 0.0000, 0.0000)  2 W 3.13
Sr (0.5000, 0.5000, 0.5000)  12 Ba 4.42
Ba (0.0000, 0.0000, 0.5000)  2 W 3.13
Ba (0.0000, 0.5000, 0.0000)  2 W 3.13

Calculated values
**Symmetry**: Pm-3m (221)
**E_form**: 4.1 eV per formula unit
**DFT total energy**: -0.2392 Ry per atom
**Total magnetic moment**: 0.0 μB/f.u.



BaSrW: relaxed, PBE.

Cell lengths 9.0624, 9.0622, 3.3318 Å; angles 79.41, 79.40, 21.19 degrees
Last column: nearest neighbours and their distance in Å.
Sites, in units of the cell vectors:
Ba (0.0284, 0.0284, 0.9716)  4 Ba 3.33, 4 W 3.42
W (0.6700, 0.6700, 0.3300)  4 Sr 3.29, 4 W 3.33, 4 Ba 3.42
Sr (0.3015, 0.3015, 0.6985)  4 W 3.29, 4 Sr 3.33

Calculated values
**Symmetry**: I4mm (107)
**E_form**: 3.8 eV per formula unit
**DFT total energy**: -0.3138 Ry per atom
**Total magnetic moment**: 0.0 μB/f.u.



Ba2SrW: relaxed, PBE.

Cell lengths 3.9905, 3.9909, 11.3136 Å; angles 69.34, 90.00, 90.00 degrees
Last column: nearest neighbours and their distance in Å.
Sites, in units of the cell vectors:
Sr (0.0000, 0.4284, 0.5716)  4 W 3.36-3.37
Ba (0.0000, 0.0706, 0.9293)  4 W 3.43, 1 Sr 3.79
Ba (0.5000, 0.2458, 0.2543)  8 Ba 3.99-4.45, 4 Sr 4.39
W (0.5000, 0.7552, 0.7448)  4 Sr 3.36-3.37, 4 Ba 3.43

Calculated values
**Symmetry**: P4mm (99)
**E_form**: 4.0 eV per formula unit
**DFT total energy**: -0.2659 Ry per atom
**Total magnetic moment**: 2.4 μB/f.u.



Ba2SrW: relaxed, PBE.

Cell lengths 3.9984, 3.9976, 11.2882 Å; angles 69.22, 90.00, 90.00 degrees
Last column: nearest neighbours and their distance in Å.
Sites, in units of the cell vectors:
Ba (0.0000, 0.0651, 0.9347)  4 W 3.43
Sr (0.5000, 0.2500, 0.2500)  4 Sr 4.00, 8 Ba 4.36-4.37
Ba (0.0000, 0.4349, 0.5653)  4 W 3.43
W (0.5000, 0.7500, 0.7500)  8 Ba 3.43

Calculated values
**Symmetry**: P4/mmm (123)
**E_form**: 4.0 eV per formula unit
**DFT total energy**: -0.2667 Ry per atom
**Total magnetic moment**: 2.3 μB/f.u.



Ba4SrW: relaxed, PBE.

Cell lengths 7.4556, 7.4556, 7.4556 Å; angles 60.00, 60.00, 60.00 degrees
Last column: nearest neighbours and their distance in Å.
Sites, in units of the cell vectors:
Ba (0.8794, 0.3735, 0.3735)  6 Ba 3.68-3.77
Ba (0.3735, 0.3735, 0.8794)  6 Ba 3.68-3.77
W (0.0000, 0.0000, 0.0000)  12 Ba 4.37, 4 Sr 4.57
Ba (0.3735, 0.8794, 0.3735)  6 Ba 3.68-3.77
Ba (0.3735, 0.3735, 0.3735)  6 Ba 3.68-3.77
Sr (0.7500, 0.7500, 0.7500)  12 Ba 4.38, 4 W 4.57

Calculated values
**Symmetry**: F-43m (216)
**E_form**: 6.9 eV per formula unit
**DFT total energy**: -0.1889 Ry per atom
**Total magnetic moment**: 3.3 μB/f.u.



BaSrW: relaxed, PBE.

Cell lengths 5.6114, 5.6114, 3.2412 Å; angles 90.00, 90.00, 120.00 degrees
Last column: nearest neighbours and their distance in Å.
Sites, in units of the cell vectors:
Ba (0.0000, 0.0000, 0.8328)  3 W 3.24, 2 Ba 3.24, 6 Sr 3.62
Sr (0.6667, 0.3333, 0.3335)  2 Sr 3.24, 6 Ba 3.62, 6 W 3.62
W (0.3333, 0.6667, 0.8336)  3 Ba 3.24, 2 W 3.24, 6 Sr 3.62

Calculated values
**Symmetry**: P-6m2 (187)
**E_form**: 4.2 eV per formula unit
**DFT total energy**: -0.3031 Ry per atom
**Total magnetic moment**: 1.0 μB/f.u.



Ba2SrW: relaxed, PBE.

Cell lengths 12.6616, 12.6616, 12.6616 Å; angles 17.72, 17.72, 17.72 degrees
Last column: nearest neighbours and their distance in Å.
Sites, in units of the cell vectors:
Sr (0.7500, 0.7500, 0.7500)  6 Sr 3.90
Ba (0.9808, 0.9808, 0.9808)  3 W 3.29
Ba (0.5192, 0.5192, 0.5192)  3 W 3.29
W (0.2500, 0.2500, 0.2500)  6 Ba 3.29

Calculated values
**Symmetry**: R-3m (166)
**E_form**: 4.5 eV per formula unit
**DFT total energy**: -0.2566 Ry per atom
**Total magnetic moment**: 1.5 μB/f.u.



Ba3SrW: relaxed, PBE.

Cell lengths 6.2587, 6.2587, 6.2587 Å; angles 90.00, 90.00, 90.00 degrees
Last column: nearest neighbours and their distance in Å.
Sites, in units of the cell vectors:
Ba (0.0000, 0.5000, 0.0000)  2 Sr 3.13
Ba (0.5000, 0.0000, 0.0000)  2 Sr 3.13
Ba (0.0000, 0.0000, 0.5000)  2 Sr 3.13
W (0.5000, 0.5000, 0.5000)  12 Ba 4.43
Sr (0.0000, 0.0000, 0.0000)  6 Ba 3.13

Calculated values
**Symmetry**: Pm-3m (221)
**E_form**: 10.7 eV per formula unit
**DFT total energy**: -0.1430 Ry per atom
**Total magnetic moment**: 0.0 μB/f.u.